(1)
Density functional theory data (PBE-GGA) for a relaxed structure of Zn12Ag6Hg.

abc: 6.8222 6.8222 6.8222
angles: 91.19 91.19 91.19
With the nearest neighbours (Å) after each atom.
Element x y z (fractional)
Zn (0.6201, 0.9448, 0.8492)  4 Zn 2.66-2.82, 3 Ag 2.73-2.97, 1 Hg 2.78
Hg (0.0000, 0.0000, 0.0000)  6 Zn 2.78, 6 Ag 2.88
Zn (0.8492, 0.6201, 0.9448)  4 Zn 2.66-2.82, 3 Ag 2.73-2.97, 1 Hg 2.78
Ag (0.7144, 0.8851, 0.2825)  6 Zn 2.64-2.78, 1 Hg 2.88
Ag (0.8851, 0.2825, 0.7144)  6 Zn 2.64-2.78, 1 Hg 2.88
Ag (0.2856, 0.1149, 0.7175)  6 Zn 2.64-2.78, 1 Hg 2.88
Zn (0.1508, 0.3799, 0.0552)  4 Zn 2.66-2.82, 3 Ag 2.73-2.97, 1 Hg 2.78
Zn (0.5605, 0.2108, 0.4685)  4 Ag 2.64-2.78, 3 Zn 2.66-2.67
Zn (0.9448, 0.8492, 0.6201)  4 Zn 2.66-2.82, 3 Ag 2.73-2.97, 1 Hg 2.78
Ag (0.7175, 0.2856, 0.1149)  6 Zn 2.64-2.78, 1 Hg 2.88
Zn (0.3799, 0.0552, 0.1508)  4 Zn 2.66-2.82, 3 Ag 2.73-2.97, 1 Hg 2.78
Zn (0.0552, 0.1508, 0.3799)  4 Zn 2.66-2.82, 3 Ag 2.73-2.97, 1 Hg 2.78
Zn (0.4395, 0.7892, 0.5315)  4 Ag 2.64-2.78, 3 Zn 2.66-2.67
Ag (0.1149, 0.7175, 0.2856)  6 Zn 2.64-2.78, 1 Hg 2.88
Zn (0.5315, 0.4395, 0.7892)  4 Ag 2.64-2.78, 3 Zn 2.66-2.67
Ag (0.2825, 0.7144, 0.8851)  6 Zn 2.64-2.78, 1 Hg 2.88
Zn (0.7892, 0.5315, 0.4395)  4 Ag 2.64-2.78, 3 Zn 2.66-2.67
Zn (0.2108, 0.4685, 0.5605)  4 Ag 2.64-2.78, 3 Zn 2.66-2.67
Zn (0.4685, 0.5605, 0.2108)  4 Ag 2.64-2.78, 3 Zn 2.66-2.67

Properties
Volume: 317.3 Å³/cell
VASP energy: -32.061 eV for the cell shown
Formation energy: 0.033 eV/atom

(2)
Density functional theory data (PBE-GGA) for a relaxed structure of ZrZnAgHg.

abc: 4.7537 4.7537 4.7537
angles: 60.00 60.00 60.00
With the nearest neighbours (Å) after each atom.
Element x y z (fractional)
Zr (0.7500, 0.7500, 0.7500)  4 Zn 2.91, 4 Hg 2.91
Hg (0.0000, 0.0000, 0.0000)  4 Ag 2.91, 4 Zr 2.91
Zn (0.5000, 0.5000, 0.5000)  4 Zr 2.91, 4 Ag 2.91
Ag (0.2500, 0.2500, 0.2500)  4 Hg 2.91, 4 Zn 2.91

Properties
Volume: 76.0 Å³/cell
VASP energy: -13.276 eV for the cell shown
Formation energy: -0.075 eV/atom

(3)
Density functional theory data (PBE-GGA) for a relaxed structure of ZrZnAg2Hg.

abc: 5.1560 5.3845 5.1560
angles: 90.00 90.00 90.00
With the nearest neighbours (Å) after each atom.
Element x y z (fractional)
Zr (0.0000, 0.5000, 0.0000)  2 Hg 2.69
Hg (0.0000, 0.0000, 0.0000)  4 Ag 2.58, 2 Zr 2.69
Ag (0.5000, 0.0000, 0.0000)  2 Hg 2.58
Ag (0.0000, 0.0000, 0.5000)  2 Hg 2.58
Zn (0.5000, 0.5000, 0.5000)  4 Zr 3.65, 8 Ag 3.73

Properties
Volume: 143.1 Å³/cell
VASP energy: -11.352 eV for the cell shown
Formation energy: 0.895 eV/atom